Below is a relaxed LaEr12Ni6 crystal, with properties calculated at the PBE level.

abc: 8.467 8.467 8.467
angles: 109.47 109.47 109.47
Fractional coordinates of all 19 atoms:
Er: 0.815 0.312 0.127
Er: 0.127 0.815 0.312
Ni: 0.876 0.376 0.500
Er: 0.815 0.688 0.504
Er: 0.873 0.185 0.688
Er: 0.688 0.504 0.815
Er: 0.504 0.815 0.688
Er: 0.185 0.312 0.496
Er: 0.312 0.127 0.815
La: 0.000 0.000 0.000
Ni: 0.500 0.876 0.376
Er: 0.312 0.496 0.185
Ni: 0.124 0.624 0.500
Ni: 0.376 0.500 0.876
Ni: 0.500 0.124 0.624
Er: 0.185 0.688 0.873
Er: 0.496 0.185 0.312
Er: 0.688 0.873 0.185
Ni: 0.624 0.500 0.124

- Space group: Im-3, No. 204
- Magnetic moment: 0.00 μB/f.u.
- Final energy: -99.217 eV for the cell shown

Below is a relaxed Ce4Bi2PN2 crystal, with properties calculated at the PBE level.

abc: 4.071 7.575 7.906
angles: 110.42 104.92 90.00
Fractional coordinates of all 9 atoms:
P: 0.000 0.000 0.000
N: 0.676 0.981 0.352
N: 0.324 0.019 0.648
Bi: 0.135 0.536 0.270
Ce: 0.469 0.233 0.938
Bi: 0.865 0.464 0.730
Ce: 0.531 0.767 0.062
Ce: 0.791 0.849 0.582
Ce: 0.209 0.151 0.418

- Space group: C2/m, No. 12
- Raw formation energy: -1224 meV per atom
- Magnetic moment: 1.23 μB/f.u.
- Final energy: -64.575 eV for the cell shown